No. 1
VASP calculation (PBE) on an optimized crystal structure of SmDy2TmHg4.

a = 9.1562 Å, b = 9.1562 Å, c = 9.1562 Å
α = 33.44°, β = 33.44°, γ = 33.44°
Sites, in units of the cell vectors:
Sm (0.0000, 0.0000, 0.0000)
Dy (0.2491, 0.2491, 0.2491)
Dy (0.7509, 0.7509, 0.7509)
Tm (0.5000, 0.5000, 0.5000)
Hg (0.1264, 0.1264, 0.1264)
Hg (0.3769, 0.3769, 0.3769)
Hg (0.6231, 0.6231, 0.6231)
Hg (0.8736, 0.8736, 0.8736)

Computed properties:
Fermi-level density of states	8.26	states/eV/cell
energy of formation from the pure elements	-0.4735	eV per atom
symmetry	R-3m (166)
crystal system	trigonal

=====

No. 2
VASP calculation (PBE) on an optimized crystal structure of SrPuP.

a = 4.1652 Å, b = 4.1652 Å, c = 10.0923 Å
α = 90.00°, β = 90.00°, γ = 90.00°
Sites, in units of the cell vectors:
Sr (0.2500, 0.2500, 0.1774)
Sr (0.7500, 0.7500, 0.8226)
Pu (0.2500, 0.7500, 0.5000)
Pu (0.7500, 0.2500, 0.5000)
P (0.2500, 0.2500, 0.7036)
P (0.7500, 0.7500, 0.2964)

Computed properties:
Fermi-level density of states	9.51	states/eV/cell
energy of formation from the pure elements	-0.6903	eV per atom
symmetry	P4/nmm (129)
crystal system	tetragonal

=====

No. 3
VASP calculation (PBE) on an optimized crystal structure of DyThMgPb.

a = 5.4529 Å, b = 5.4529 Å, c = 5.4529 Å
α = 60.00°, β = 60.00°, γ = 60.00°
Sites, in units of the cell vectors:
Dy (0.0000, 0.0000, 0.0000)
Th (0.5000, 0.5000, 0.5000)
Mg (0.2500, 0.2500, 0.2500)
Pb (0.7500, 0.7500, 0.7500)

Computed properties:
Fermi-level density of states	2.98	states/eV/cell
energy of formation from the pure elements	-0.1293	eV per atom
symmetry	F-43m (216)
crystal system	cubic

=====

No. 4
VASP calculation (PBE) on an optimized crystal structure of NbNiRh3.

a = 4.7816 Å, b = 4.7816 Å, c = 4.7816 Å
α = 67.92°, β = 67.92°, γ = 67.92°
Sites, in units of the cell vectors:
Nb (0.0000, 0.0000, 0.0000)
Ni (0.5000, 0.5000, 0.5000)
Rh (0.0000, 0.5000, 0.5000)
Rh (0.5000, 0.0000, 0.5000)
Rh (0.5000, 0.5000, 0.0000)

Computed properties:
Fermi-level density of states	9.67	states/eV/cell
energy of formation from the pure elements	0.6301	eV per atom
symmetry	R-3m (166)
crystal system	trigonal
distance to the lowest polymorph of the same formula	493	meV/atom

=====

No. 5
VASP calculation (PBE) on an optimized crystal structure of TbGa4OsRh2.

a = 8.9297 Å, b = 8.9297 Å, c = 8.9297 Å
α = 27.48°, β = 27.48°, γ = 27.48°
Sites, in units of the cell vectors:
Tb (0.0000, 0.0000, 0.0000)
Ga (0.1320, 0.1320, 0.1320)
Ga (0.3996, 0.3996, 0.3996)
Ga (0.6004, 0.6004, 0.6004)
Ga (0.8680, 0.8680, 0.8680)
Os (0.5000, 0.5000, 0.5000)
Rh (0.2390, 0.2390, 0.2390)
Rh (0.7610, 0.7610, 0.7610)

Computed properties:
Fermi-level density of states	3.94	states/eV/cell
energy of formation from the pure elements	-0.5142	eV per atom
symmetry	R-3m (166)
crystal system	trigonal

=====

No. 6
VASP calculation (PBE) on an optimized crystal structure of TlOsSe.

a = 4.5125 Å, b = 4.5125 Å, c = 4.5125 Å
α = 60.00°, β = 60.00°, γ = 60.00°
Sites, in units of the cell vectors:
Tl (0.0000, 0.0000, 0.0000)
Os (0.7500, 0.7500, 0.7500)
Se (0.5000, 0.5000, 0.5000)

Computed properties:
Fermi-level density of states	3.21	states/eV/cell
formation energy without anion corrections	2.44	eV per formula unit
symmetry	F-43m (216)
crystal system	cubic
distance to the lowest polymorph of the same formula	108	meV/atom

=====

No. 7
VASP calculation (PBE) on an optimized crystal structure of Ce3PuRh8.

a = 9.2585 Å, b = 9.2585 Å, c = 9.2585 Å
α = 33.62°, β = 33.62°, γ = 33.62°
Sites, in units of the cell vectors:
Ce (0.0000, 0.0000, 0.0000)
Ce (0.1264, 0.1264, 0.1264)
Ce (0.6196, 0.6196, 0.6196)
Pu (0.4967, 0.4967, 0.4967)
Rh (0.0594, 0.5608, 0.5608)
Rh (0.0602, 0.0602, 0.5626)
Rh (0.0602, 0.5626, 0.0602)
Rh (0.3108, 0.3108, 0.3108)
Rh (0.5608, 0.0594, 0.5608)
Rh (0.5608, 0.5608, 0.0594)
Rh (0.5626, 0.0602, 0.0602)
Rh (0.8108, 0.8108, 0.8108)

Computed properties:
Fermi-level density of states	19.76	states/eV/cell
energy of formation from the pure elements	-0.6729	eV per atom
symmetry	R3m (160)
crystal system	trigonal

=====

No. 8
VASP calculation (PBE) on an optimized crystal structure of CrIN2.

a = 3.9765 Å, b = 3.9765 Å, c = 3.9765 Å
α = 60.00°, β = 60.00°, γ = 60.00°
Sites, in units of the cell vectors:
Cr (0.0000, 0.0000, 0.0000)
I (0.5000, 0.5000, 0.5000)
N (0.2500, 0.2500, 0.2500)
N (0.7500, 0.7500, 0.7500)

Computed properties:
Fermi-level density of states	2.15	states/eV/cell
formation energy without anion corrections	7.51	eV per formula unit
symmetry	Fm-3m (225)
crystal system	cubic
distance to the lowest polymorph of the same formula	1531	meV/atom

=====

No. 9
VASP calculation (PBE) on an optimized crystal structure of Li4Dy3ErSe8.

a = 8.0105 Å, b = 8.0105 Å, c = 8.0105 Å
α = 60.93°, β = 60.93°, γ = 60.93°
Sites, in units of the cell vectors:
Li (0.0000, 0.0000, 0.0000)
Li (0.0000, 0.5000, 0.5000)
Li (0.5000, 0.0000, 0.5000)
Li (0.5000, 0.5000, 0.0000)
Dy (0.0000, 0.0000, 0.5000)
Dy (0.0000, 0.5000, 0.0000)
Dy (0.5000, 0.0000, 0.0000)
Er (0.5000, 0.5000, 0.5000)
Se (0.2501, 0.2501, 0.7472)
Se (0.2501, 0.7472, 0.2501)
Se (0.2512, 0.2512, 0.2512)
Se (0.2528, 0.7499, 0.7499)
Se (0.7472, 0.2501, 0.2501)
Se (0.7488, 0.7488, 0.7488)
Se (0.7499, 0.2528, 0.7499)
Se (0.7499, 0.7499, 0.2528)

Computed properties:
Fermi-level density of states	0.00	states/eV/cell
formation energy without anion corrections	-27.16	eV per formula unit
symmetry	R-3m (166)
crystal system	trigonal

=====

No. 10
VASP calculation (PBE) on an optimized crystal structure of CaCo2TcMo.

a = 4.2205 Å, b = 4.2205 Å, c = 4.7190 Å
α = 90.00°, β = 90.00°, γ = 90.00°
Sites, in units of the cell vectors:
Ca (0.0000, 0.0000, 0.0000)
Co (0.0000, 0.5000, 0.0000)
Co (0.5000, 0.0000, 0.0000)
Tc (0.0000, 0.0000, 0.5000)
Mo (0.5000, 0.5000, 0.5000)

Computed properties:
Fermi-level density of states	5.56	states/eV/cell
energy of formation from the pure elements	2.2132	eV per atom
symmetry	P4/mmm (123)
crystal system	tetragonal

=====

No. 11
VASP calculation (PBE) on an optimized crystal structure of Pr4YTh3S8.

a = 8.1371 Å, b = 8.1371 Å, c = 8.1371 Å
α = 59.65°, β = 59.65°, γ = 59.65°
Sites, in units of the cell vectors:
Pr (0.0000, 0.0000, 0.0000)
Pr (0.0000, 0.5000, 0.5000)
Pr (0.5000, 0.0000, 0.5000)
Pr (0.5000, 0.5000, 0.0000)
Y (0.5000, 0.5000, 0.5000)
Th (0.0000, 0.0000, 0.5000)
Th (0.0000, 0.5000, 0.0000)
Th (0.5000, 0.0000, 0.0000)
S (0.2491, 0.2491, 0.2491)
S (0.2529, 0.7442, 0.7442)
S (0.2558, 0.2558, 0.7471)
S (0.2558, 0.7471, 0.2558)
S (0.7442, 0.2529, 0.7442)
S (0.7442, 0.7442, 0.2529)
S (0.7471, 0.2558, 0.2558)
S (0.7509, 0.7509, 0.7509)

Computed properties:
Fermi-level density of states	7.26	states/eV/cell
formation energy without anion corrections	-31.10	eV per formula unit
symmetry	R-3m (166)
crystal system	trigonal

=====

No. 12
VASP calculation (PBE) on an optimized crystal structure of CaNb.

a = 9.1877 Å, b = 8.3292 Å, c = 5.6617 Å
α = 79.61°, β = 63.09°, γ = 37.31°
Sites, in units of the cell vectors:
Ca (0.0409, 0.7091, 0.0409)
Ca (0.2909, 0.9591, 0.2909)
Ca (0.7091, 0.0409, 0.7091)
Ca (0.9591, 0.2909, 0.9591)
Nb (0.3031, 0.3031, 0.4469)
Nb (0.4469, 0.4469, 0.3031)
Nb (0.5531, 0.5531, 0.6969)
Nb (0.6969, 0.6969, 0.5531)

Computed properties:
Fermi-level density of states	8.85	states/eV/cell
energy of formation from the pure elements	0.6532	eV per atom
symmetry	Fddd (70)
crystal system	orthorhombic
distance to the lowest polymorph of the same formula	378	meV/atom

=====

No. 13
VASP calculation (PBE) on an optimized crystal structure of VSb2SeI.

a = 5.2314 Å, b = 5.2314 Å, c = 4.9811 Å
α = 90.00°, β = 90.00°, γ = 90.00°
Sites, in units of the cell vectors:
V (0.0000, 0.0000, 0.0000)
Sb (0.0000, 0.5000, 0.0000)
Sb (0.5000, 0.0000, 0.0000)
Se (0.5000, 0.5000, 0.5000)
I (0.0000, 0.0000, 0.5000)

Computed properties:
Fermi-level density of states	2.79	states/eV/cell
formation energy without anion corrections	1.87	eV per formula unit
symmetry	P4/mmm (123)
crystal system	tetragonal
distance to the lowest polymorph of the same formula	0	meV/atom

=====

No. 14
VASP calculation (PBE) on an optimized crystal structure of SrTa2Re.

a = 5.7779 Å, b = 5.7779 Å, c = 2.7966 Å
α = 99.96°, β = 99.96°, γ = 117.12°
Sites, in units of the cell vectors:
Sr (0.0000, 0.0000, 0.0000)
Ta (0.0000, 0.5000, 0.5000)
Ta (0.5000, 0.0000, 0.5000)
Re (0.5000, 0.5000, 0.0000)

Computed properties:
Fermi-level density of states	5.49	states/eV/cell
energy of formation from the pure elements	0.9175	eV per atom
symmetry	C2/m (12)
crystal system	monoclinic
distance to the lowest polymorph of the same formula	441	meV/atom

=====

No. 15
VASP calculation (PBE) on an optimized crystal structure of Cd2H6N3.

a = 7.8183 Å, b = 7.8183 Å, c = 5.8429 Å
α = 91.56°, β = 91.56°, γ = 106.65°
Sites, in units of the cell vectors:
Cd (0.1034, 0.7153, 0.5454)
Cd (0.2847, 0.8966, 0.9546)
Cd (0.7153, 0.1034, 0.0454)
Cd (0.8966, 0.2847, 0.4546)
H (0.0258, 0.1321, 0.8121)
H (0.1321, 0.0258, 0.3121)
H (0.2326, 0.4888, 0.2622)
H (0.2737, 0.4295, 0.5194)
H (0.4295, 0.2737, 0.0194)
H (0.4888, 0.2326, 0.7622)
H (0.5112, 0.7674, 0.2378)
H (0.5705, 0.7263, 0.9806)
H (0.7263, 0.5705, 0.4806)
H (0.7674, 0.5112, 0.7378)
H (0.8679, 0.9742, 0.6879)
H (0.9742, 0.8679, 0.1879)
N (0.1038, 0.8962, 0.2500)
N (0.1818, 0.4692, 0.4224)
N (0.4692, 0.1818, 0.9224)
N (0.5308, 0.8182, 0.0776)
N (0.8182, 0.5308, 0.5776)
N (0.8962, 0.1038, 0.7500)

Computed properties:
Fermi-level density of states	4.32	states/eV/cell
symmetry	C2/c (15)
crystal system	monoclinic
calculated total energy	-4.385	eV/atom

=====

No. 16
VASP calculation (PBE) on an optimized crystal structure of BaCuBiO2.

a = 4.4832 Å, b = 4.4832 Å, c = 6.0753 Å
α = 90.00°, β = 90.00°, γ = 90.00°
Sites, in units of the cell vectors:
Ba (0.0000, 0.0000, 0.0000)
Cu (0.0000, 0.0000, 0.5000)
Bi (0.5000, 0.5000, 0.5000)
O (0.0000, 0.5000, 0.0000)
O (0.5000, 0.0000, 0.0000)

Computed properties:
Fermi-level density of states	2.94	states/eV/cell
formation energy without anion corrections	0.31	eV per formula unit
symmetry	P4/mmm (123)
crystal system	tetragonal

=====

No. 17
VASP calculation (PBE) on an optimized crystal structure of La2NiB2.

a = 4.9086 Å, b = 4.9086 Å, c = 4.9086 Å
α = 111.30°, β = 111.30°, γ = 105.88°
Sites, in units of the cell vectors:
La (0.2500, 0.7500, 0.5000)
La (0.7500, 0.2500, 0.5000)
Ni (0.0000, 0.0000, 0.0000)
B (0.3634, 0.3634, 0.0000)
B (0.6366, 0.6366, 0.0000)

Computed properties:
Fermi-level density of states	5.54	states/eV/cell
energy of formation from the pure elements	0.0037	eV per atom
symmetry	I4/mmm (139)
crystal system	tetragonal
distance to the lowest polymorph of the same formula	3	meV/atom

=====

No. 18
VASP calculation (PBE) on an optimized crystal structure of PrScP.

a = 4.4467 Å, b = 4.4467 Å, c = 4.2287 Å
α = 90.00°, β = 90.00°, γ = 120.00°
Sites, in units of the cell vectors:
Pr (0.0000, 0.0000, 0.0000)
Sc (0.6667, 0.3333, 0.5018)
P (0.3333, 0.6667, 0.5766)

Computed properties:
Fermi-level density of states	3.69	states/eV/cell
energy of formation from the pure elements	-0.7172	eV per atom
symmetry	P3m1 (156)
crystal system	trigonal

=====

No. 19
VASP calculation (PBE) on an optimized crystal structure of La2Cd2Pt.

a = 7.3377 Å, b = 7.3377 Å, c = 4.9470 Å
α = 90.00°, β = 90.00°, γ = 90.00°
Sites, in units of the cell vectors:
La (0.1677, 0.3323, 0.0000)
La (0.3323, 0.8323, 0.0000)
La (0.6677, 0.1677, 0.0000)
La (0.8323, 0.6677, 0.0000)
Cd (0.1393, 0.6393, 0.5000)
Cd (0.3607, 0.1393, 0.5000)
Cd (0.6393, 0.8607, 0.5000)
Cd (0.8607, 0.3607, 0.5000)
Pt (0.0000, 0.0000, 0.5000)
Pt (0.5000, 0.5000, 0.5000)

Computed properties:
Fermi-level density of states	9.71	states/eV/cell
energy of formation from the pure elements	-0.3665	eV per atom
symmetry	P4/mbm (127)
crystal system	tetragonal
distance to the lowest polymorph of the same formula	0	meV/atom

=====

No. 20
VASP calculation (PBE) on an optimized crystal structure of CoCu3.

a = 4.3711 Å, b = 8.4255 Å, c = 5.0666 Å
α = 90.00°, β = 90.00°, γ = 90.00°
Sites, in units of the cell vectors:
Co (0.0784, 0.2500, 0.1398)
Co (0.4216, 0.7500, 0.6398)
Co (0.5784, 0.2500, 0.3602)
Co (0.9216, 0.7500, 0.8602)
Cu (0.0789, 0.2500, 0.6300)
Cu (0.2472, 0.0008, 0.8778)
Cu (0.2472, 0.4992, 0.8778)
Cu (0.2528, 0.5008, 0.3778)
Cu (0.2528, 0.9992, 0.3778)
Cu (0.4211, 0.7500, 0.1300)
Cu (0.5789, 0.2500, 0.8700)
Cu (0.7472, 0.0008, 0.6222)
Cu (0.7472, 0.4992, 0.6222)
Cu (0.7528, 0.5008, 0.1222)
Cu (0.7528, 0.9992, 0.1222)
Cu (0.9211, 0.7500, 0.3700)

Computed properties:
Fermi-level density of states	12.12	states/eV/cell
energy of formation from the pure elements	0.1115	eV per atom
symmetry	Pnma (62)
crystal system	orthorhombic